Model w:
K2NbF | PBE-GGA | relaxed

The value obtained for the theoretical density is 2.39 g/cm³. For the volume, the calculation gives 33.01 A^3/atom. For the magnetic moment, the calculation gives 5.43 μB per formula unit. The crystal system is cubic.

The structure belongs to space group Fm-3m (No. 225); the cell edges are 8.084, 8.084 and 8.084 Å and the angles 90.00°, 90.00° and 90.00°. The distinct sites, in fractional coordinates, are K at (0.250, 0.250, 0.250), Nb at (0.000, 0.000, 0.000) and F at (0.000, 0.000, 0.500).

Model x:
K2NbF | PBE-GGA | relaxed

The value obtained for the theoretical density is 2.15 g/cm³. For the volume, the calculation gives 36.77 A^3/atom. For the magnetic moment, the calculation gives 4.72 μB per formula unit. The crystal system is tetragonal.

The structure belongs to space group I-42d (No. 122); the cell edges are 7.863, 7.863 and 9.515 Å and the angles 90.00°, 90.00° and 90.00°. The distinct sites, in fractional coordinates, are K at (0.120, 0.250, 0.125), Nb at (0.000, 0.000, 0.500) and F at (0.000, 0.000, 0.000).

Stability ranking, top entry: model x; the second entry is 41.4 kJ/mol of atoms less favorable.

Model w:
KNbOF2 | PBE-GGA | relaxed

The value obtained for the theoretical density is 3.40 g/cm³. For the volume, the calculation gives 18.19 A^3/atom. For the magnetic moment, the calculation gives 2.00 μB per formula unit. The crystal system is tetragonal.

The structure belongs to space group P4/mmm (No. 123); the cell edges are 4.444, 4.444 and 4.605 Å and the angles 90.00°, 90.00° and 90.00°. The distinct sites, in fractional coordinates, are K at (0.000, 0.000, 0.000), Nb at (0.500, 0.500, 0.500), O at (0.000, 0.000, 0.500) and F at (0.000, 0.500, 0.000).

Model x:
KNbOF2 | PBE-GGA | relaxed

The value obtained for the theoretical density is 3.92 g/cm³. For the volume, the calculation gives 15.76 A^3/atom. For the magnetic moment, the calculation gives 1.99 μB per formula unit. The crystal system is tetragonal.

The structure belongs to space group P4/mmm (No. 123); the cell edges are 4.413, 4.413 and 4.047 Å and the angles 90.00°, 90.00° and 90.00°. The distinct sites, in fractional coordinates, are K at (0.000, 0.000, 0.000), Nb at (0.500, 0.500, 0.500), O at (0.500, 0.500, 0.000) and F at (0.000, 0.500, 0.500).

Stability ranking, top entry: model x; the second entry is 199.1 kJ/mol of atoms less favorable.